{"formula": "V2Mo6W", "functional": "GGA-PBE", "state": "optimized geometry", "cell": [[7.831, 0.000, 0.000], [0.000, 7.967, 0.000], [0.000, 0.000, 4.481]], "species": ["V", "V", "V", "V", "Mo", "Mo", "Mo", "Mo", "Mo", "Mo", "Mo", "Mo", "Mo", "Mo", "Mo", "Mo", "W", "W"], "frac_coords": [[0.164, 0.236, 0.000], [0.336, 0.736, 0.500], [0.664, 0.264, 0.500], [0.836, 0.764, 0.000], [0.002, 0.668, 0.500], [0.164, 0.569, 0.000], [0.167, 0.902, 0.000], [0.333, 0.402, 0.500], [0.336, 0.069, 0.500], [0.498, 0.168, 0.000], [0.502, 0.832, 0.000], [0.664, 0.931, 0.500], [0.667, 0.598, 0.500], [0.833, 0.098, 0.000], [0.836, 0.431, 0.000], [0.998, 0.332, 0.500], [0.000, 0.000, 0.500], [0.500, 0.500, 0.000]], "energy_ev_per_cell": -191.52, "rho_g_cm3": 10.234, "space_group": "Pnnm, No. 58", "dos_ef_per_ev_cell": 12.0, "ef_ev_per_atom": 0.046, "relative_energy_mev_per_atom": 0}

=====

{"formula": "V4MoW3", "functional": "GGA-PBE", "state": "optimized geometry", "cell": [[3.087, 0.000, 0.000], [0.000, 4.355, 0.000], [0.000, 0.000, 8.707]], "species": ["V", "V", "V", "V", "Mo", "W", "W", "W"], "frac_coords": [[0.000, 0.000, 0.000], [0.000, 0.000, 0.500], [0.000, 0.500, 0.249], [0.000, 0.500, 0.751], [0.500, 0.500, 0.000], [0.500, 0.000, 0.250], [0.500, 0.000, 0.750], [0.500, 0.500, 0.500]], "energy_ev_per_cell": -86.90, "rho_g_cm3": 12.077, "space_group": "Pmmm, No. 47", "dos_ef_per_ev_cell": 7.4, "ef_ev_per_atom": -0.092, "relative_energy_mev_per_atom": 0}

=====

{"formula": "V2Mo2W5", "functional": "GGA-PBE", "state": "optimized geometry", "cell": [[6.354, -2.587, 0.000], [6.354, 2.587, 0.000], [-3.379, 0.000, 8.913]], "species": ["V", "V", "V", "V", "Mo", "Mo", "Mo", "Mo", "W", "W", "W", "W", "W", "W", "W", "W", "W", "W"], "frac_coords": [[0.000, 0.500, 0.500], [0.223, 0.777, 0.750], [0.500, 0.000, 0.000], [0.777, 0.223, 0.250], [0.140, 0.601, 0.128], [0.399, 0.860, 0.372], [0.601, 0.140, 0.628], [0.860, 0.399, 0.872], [0.069, 0.135, 0.593], [0.135, 0.069, 0.093], [0.234, 0.364, 0.806], [0.364, 0.234, 0.306], [0.500, 0.500, 0.000], [0.500, 0.500, 0.500], [0.636, 0.766, 0.694], [0.766, 0.636, 0.194], [0.865, 0.931, 0.907], [0.931, 0.865, 0.407]], "energy_ev_per_cell": -203.15, "rho_g_cm3": 13.745, "space_group": "C2/c, No. 15", "dos_ef_per_ev_cell": 14.8, "ef_ev_per_atom": 0.344}

=====

{"formula": "V2Mo5W", "functional": "GGA-PBE", "state": "optimized geometry", "cell": [[3.140, -4.405, 0.000], [3.140, 4.405, 0.000], [-3.111, 0.000, 4.423]], "species": ["V", "V", "Mo", "Mo", "Mo", "Mo", "Mo", "W"], "frac_coords": [[0.000, 0.500, 0.000], [0.500, 0.000, 0.000], [0.000, 0.000, 0.000], [0.000, 0.000, 0.500], [0.000, 0.500, 0.500], [0.500, 0.000, 0.500], [0.500, 0.500, 0.000], [0.500, 0.500, 0.500]], "energy_ev_per_cell": -86.14, "rho_g_cm3": 10.389, "space_group": "C2/m, No. 12", "dos_ef_per_ev_cell": 5.2, "ef_ev_per_atom": -0.100, "relative_energy_mev_per_atom": 0}

=====

{"formula": "VMoW6", "functional": "GGA-PBE", "state": "optimized geometry", "cell": [[3.169, -4.463, 0.000], [3.169, 4.463, 0.000], [0.000, 0.000, 4.473]], "species": ["V", "Mo", "W", "W", "W", "W", "W", "W"], "frac_coords": [[0.000, 0.000, 0.000], [0.500, 0.500, 0.000], [0.000, 0.500, 0.000], [0.247, 0.247, 0.500], [0.249, 0.751, 0.500], [0.500, 0.000, 0.000], [0.751, 0.249, 0.500], [0.753, 0.753, 0.500]], "energy_ev_per_cell": -98.16, "rho_g_cm3": 16.403, "space_group": "Cmmm, No. 65", "dos_ef_per_ev_cell": 2.6, "ef_ev_per_atom": -0.061, "relative_energy_mev_per_atom": 0}

=====

{"formula": "V6Mo3W", "functional": "GGA-PBE", "state": "optimized geometry", "cell": [[7.518, 0.000, 0.000], [0.000, 4.325, 0.000], [-2.449, 0.000, 8.836]], "species": ["V", "V", "V", "V", "V", "V", "V", "V", "V", "V", "V", "V", "Mo", "Mo", "Mo", "Mo", "Mo", "Mo", "W", "W"], "frac_coords": [[0.050, 0.250, 0.400], [0.151, 0.750, 0.201], [0.250, 0.250, 0.000], [0.349, 0.750, 0.798], [0.351, 0.250, 0.297], [0.450, 0.250, 0.599], [0.550, 0.750, 0.401], [0.649, 0.750, 0.703], [0.651, 0.250, 0.202], [0.750, 0.750, 0.000], [0.849, 0.250, 0.799], [0.950, 0.750, 0.600], [0.048, 0.750, 0.898], [0.150, 0.250, 0.698], [0.255, 0.750, 0.497], [0.745, 0.250, 0.503], [0.850, 0.750, 0.302], [0.952, 0.250, 0.102], [0.449, 0.750, 0.102], [0.551, 0.250, 0.898]], "energy_ev_per_cell": -202.23, "rho_g_cm3": 8.985, "space_group": "P2_1/m, No. 11", "dos_ef_per_ev_cell": 26.2, "ef_ev_per_atom": -0.096, "relative_energy_mev_per_atom": 0}

=====

{"formula": "V2Mo3W6", "functional": "GGA-PBE", "state": "optimized geometry", "cell": [[-1.291, 2.352, 14.483], [1.291, -2.352, 14.483], [1.291, 2.352, -14.483]], "species": ["V", "V", "Mo", "Mo", "Mo", "W", "W", "W", "W", "W", "W"], "frac_coords": [[0.042, 0.042, 0.000], [0.958, 0.958, 0.000], [0.317, 0.317, 0.000], [0.500, 0.500, 0.000], [0.683, 0.683, 0.000], [0.131, 0.631, 0.500], [0.223, 0.223, 0.000], [0.409, 0.909, 0.500], [0.591, 0.091, 0.500], [0.777, 0.777, 0.000], [0.869, 0.369, 0.500]], "energy_ev_per_cell": -124.46, "rho_g_cm3": 14.094, "space_group": "Immm, No. 71", "dos_ef_per_ev_cell": 9.6, "ef_ev_per_atom": 0.363}

=====

{"formula": "VMoW2", "functional": "GGA-PBE", "state": "optimized geometry", "cell": [[-1.569, 2.222, 4.424], [1.569, -2.222, 4.424], [1.569, 2.222, -4.424]], "species": ["V", "Mo", "W", "W"], "frac_coords": [[0.000, 0.000, 0.000], [0.500, 0.500, 0.000], [0.250, 0.750, 0.500], [0.750, 0.250, 0.500]], "energy_ev_per_cell": -46.25, "rho_g_cm3": 13.853, "space_group": "Immm, No. 71", "dos_ef_per_ev_cell": 1.8, "ef_ev_per_atom": -0.098, "relative_energy_mev_per_atom": 0}

=====

{"formula": "V2Mo4W3", "functional": "GGA-PBE", "state": "optimized geometry", "cell": [[5.349, 0.000, 0.000], [2.631, 6.338, 0.000], [0.080, 2.320, 8.642]], "species": ["V", "V", "V", "V", "Mo", "Mo", "Mo", "Mo", "Mo", "Mo", "Mo", "Mo", "W", "W", "W", "W", "W", "W"], "frac_coords": [[0.007, 0.002, 0.243], [0.115, 0.286, 0.038], [0.885, 0.714, 0.962], [0.993, 0.998, 0.757], [0.103, 0.280, 0.539], [0.208, 0.582, 0.238], [0.388, 0.717, 0.962], [0.419, 0.148, 0.325], [0.581, 0.852, 0.675], [0.612, 0.283, 0.038], [0.792, 0.418, 0.762], [0.897, 0.720, 0.461], [0.208, 0.580, 0.743], [0.399, 0.719, 0.460], [0.424, 0.140, 0.833], [0.576, 0.860, 0.167], [0.601, 0.281, 0.540], [0.792, 0.420, 0.257]], "energy_ev_per_cell": -194.22, "rho_g_cm3": 11.755, "space_group": "P-1, No. 2", "dos_ef_per_ev_cell": 15.6, "ef_ev_per_atom": 0.368, "relative_energy_mev_per_atom": 189}

=====

{"formula": "V3Mo8W2", "functional": "GGA-PBE", "state": "optimized geometry", "cell": [[6.425, -3.403, 0.000], [6.425, 3.403, 0.000], [-1.758, 0.000, 4.880]], "species": ["V", "V", "V", "Mo", "Mo", "Mo", "Mo", "Mo", "Mo", "Mo", "Mo", "W", "W"], "frac_coords": [[0.000, 0.000, 0.000], [0.162, 0.838, 0.500], [0.838, 0.162, 0.500], [0.199, 0.199, 0.943], [0.200, 0.584, 0.834], [0.403, 0.403, 0.321], [0.416, 0.800, 0.166], [0.584, 0.200, 0.834], [0.597, 0.597, 0.679], [0.800, 0.416, 0.166], [0.801, 0.801, 0.057], [0.211, 0.211, 0.466], [0.789, 0.789, 0.534]], "energy_ev_per_cell": -132.37, "rho_g_cm3": 10.022, "space_group": "C2/m, No. 12", "dos_ef_per_ev_cell": 15.7, "ef_ev_per_atom": 0.580, "relative_energy_mev_per_atom": 87}

=====

no.,size of the total moment (μB/atom)
1,0.0000
2,0.0000
3,0.0000
4,0.0000
5,0.0000
6,0.0001
7,0.0000
8,0.0000
9,0.0000
10,0.0000